[1]
Compound: BaZnCd
Source: Alexandria via LeMat-Bulk
Functional: GGA-PBEsol
Structure: relaxed

Summary:
The value obtained for the energy of formation from the pure elements is -0.21 eV per atom.

Cell: 4.8336 4.8336 4.3662 Å, 90.00 90.00 120.00°
Positions (direct):
Ba  0.0000  0.0000  0.0000
Zn  0.6667  0.3333  0.5000
Cd  0.3333  0.6667  0.5000

---

[2]
Compound: Ni3Br
Source: Alexandria via LeMat-Bulk
Functional: GGA-PBEsol
Structure: relaxed

Summary:
The energy relative to the lowest polymorph listed for this composition is 0.0 meV/atom. As for the formation energy from raw total energies: 42.4 kJ/mol of atoms.

Cell: 3.0584 3.0584 5.5505 Å, 90.00 90.00 90.00°
Positions (direct):
Ni  0.0000  0.0000  0.0000
Ni  0.5000  0.5000  0.2132
Ni  0.5000  0.5000  0.7868
Br  0.0000  0.0000  0.5000